Crystalline KMgZrTc2 at its relaxed geometry, computed with PBE-GGA.

Computed properties:
E_tot in eV per atom: -4.596
Density in g/cm3: 5.12
Crystal system: tetragonal

POSCAR file:
```
KMgZrTc2
1.0
-3.865 0.230 2.969
-0.158 -4.775 0.164
2.973 0.034 3.868
Tc Zr Mg K
2 1 1 1
Cartesian
-1.932 0.115 1.484
1.487 0.017 1.934
-0.525 -2.255 3.500
0.000 0.000 0.000
-0.079 -2.388 0.082
```



Crystalline K2Mg4Te at its relaxed geometry, computed with PBE-GGA.

Computed properties:
E_tot in eV per atom: -1.427
Density in g/cm3: 1.55
Formation energy from raw total energies in eV per atom: 0.25
Crystal system: tetragonal

POSCAR file:
```
K2Mg4Te
1.0
-5.024 2.710 -0.019
-1.830 -3.422 -4.186
-6.908 -6.761 4.655
Mg Te K
4 1 2
Cartesian
-7.909 -2.653 -2.158
-2.512 1.355 -0.009
-0.915 -1.711 -2.093
-5.853 -4.820 2.607
0.000 0.000 0.000
-4.536 -2.396 0.049
-9.227 -5.078 0.401
```



> Which value of E_tot does entry 2 give?

-1.427 eV per atom



> Which of these has the highest E_tot?

K2Mg4Te